This record from the Alexandria database describes a geometry-optimized KH3W structure. The functional is PBE.

Geometry as POSCAR:
```
KH3W
1.0
-2.819 2.307 -1.679
-2.738 -2.851 0.681
-0.802 1.625 3.579
H K W
3 1 1
direct
0.000 0.000 0.500
0.500 0.000 0.000
0.000 0.500 0.000
0.000 0.000 0.000
0.500 0.500 0.500
```

Properties
As for the final energy: -14.286 eV per cell. The energy above the most stable polymorph in this dataset comes out at 1465 meV per atom.

This record from the Alexandria database describes a geometry-optimized Cr2CoRu structure. The functional is PBE.

Geometry as POSCAR:
```
Cr2CoRu
1.0
4.415 -0.006 0.003
3.646 2.491 0.003
0.765 0.236 4.373
Ru Cr Co
1 2 1
direct
0.504 0.504 0.508
0.994 0.994 0.021
0.750 0.750 0.745
0.252 0.252 0.225
```

Properties
For the calculated formation energy, the calculation gives 56 kJ/mol of formula units. As for the final energy: -35.051 eV per cell.

This record from the Alexandria database describes a geometry-optimized Li6CdGe2 structure. The functional is PBE.

Geometry as POSCAR:
```
Li6CdGe2
1.0
-1.288 2.468 -0.528
-5.378 -3.687 -4.110
-1.005 1.089 7.562
Li Ge Cd
6 2 1
direct
0.404 0.656 0.000
0.404 0.344 0.344
0.596 0.344 0.000
0.596 0.656 0.656
0.592 0.000 0.344
0.408 0.000 0.656
0.000 0.667 0.333
0.000 0.333 0.667
0.000 0.000 0.000
```

Properties
For the calculated formation energy, the calculation gives -236 kJ/mol of formula units. As for the final energy: -24.083 eV per cell. The energy above the most stable polymorph in this dataset comes out at 0 meV per atom.

This record from the Alexandria database describes a geometry-optimized NbAlAu structure. The functional is PBE.

Geometry as POSCAR:
```
NbAlAu
1.0
3.057 0.000 0.000
0.000 4.415 0.000
0.000 -2.207 3.823
Al Nb Au
1 1 1
direct
0.166 0.667 0.333
0.667 0.333 0.667
0.167 0.000 0.000
```

Properties
For the calculated formation energy, the calculation gives -74 kJ/mol of formula units. As for the final energy: -17.856 eV per cell.